Computed, not measured: an optimized crystal structure of Pm2Ho3ErAs6 at the GGA-PBE level of DFT.

```
data_Pm2Ho3ErAs6
_space_group_name_H-M_alt 'C 1 2/m 1'
_space_group_IT_number 12
_cell_length_a 18.059
_cell_length_b 4.146
_cell_length_c 8.285
_cell_angle_alpha 90.00
_cell_angle_beta 103.24
_cell_angle_gamma 90.00
loop_
_space_group_symop_operation_xyz
'x,y,z'
'-x,-y,-z'
'-x,y,-z'
'x,-y,z'
'x+1/2,y+1/2,z'
'-x+1/2,-y+1/2,-z'
'-x+1/2,y+1/2,-z'
'x+1/2,-y+1/2,z'
loop_
_atom_site_label
_atom_site_type_symbol
_atom_site_fract_x
_atom_site_fract_y
_atom_site_fract_z
Pm1 Pm 0.166 0.000 0.332
Ho1 Ho 0.000 0.500 0.500
Ho2 Ho 0.167 0.000 0.834
Er1 Er 0.000 0.500 0.000
As1 As 0.002 0.000 0.752
As2 As 0.165 0.500 0.588
As3 As 0.166 0.500 0.077
```

Properties
DOS(E_F) = 3.59 states/eV/cell
E = -6.16 eV/atom
density = 7708 kg/m3

=====

Computed, not measured: an optimized crystal structure of PrHoEr2As4 at the GGA-PBE level of DFT.

```
data_PrHoEr2As4
_space_group_name_H-M_alt 'P 1 2/m 1'
_space_group_IT_number 10
_cell_length_a 7.177
_cell_length_b 4.148
_cell_length_c 7.179
_cell_angle_alpha 90.00
_cell_angle_beta 109.48
_cell_angle_gamma 90.00
loop_
_space_group_symop_operation_xyz
'x,y,z'
'-x,-y,-z'
'-x,y,-z'
'x,-y,z'
loop_
_atom_site_label
_atom_site_type_symbol
_atom_site_fract_x
_atom_site_fract_y
_atom_site_fract_z
Pr1 Pr 0.000 0.000 0.000
Ho1 Ho 0.000 0.500 0.500
Er1 Er 0.500 0.000 0.500
Er2 Er 0.500 0.500 0.000
As1 As 0.255 0.000 0.746
As2 As 0.260 0.500 0.259
```

Properties
DOS(E_F) = 0.89 states/eV/cell
E = -6.14 eV/atom
density = 7746 kg/m3

=====

Computed, not measured: an optimized crystal structure of HoErPu2As4 at the GGA-PBE level of DFT.

```
data_HoErPu2As4
_space_group_name_H-M_alt 'P 1 2/m 1'
_space_group_IT_number 10
_cell_length_a 7.102
_cell_length_b 4.122
_cell_length_c 7.128
_cell_angle_alpha 90.00
_cell_angle_beta 109.58
_cell_angle_gamma 90.00
loop_
_space_group_symop_operation_xyz
'x,y,z'
'-x,-y,-z'
'-x,y,-z'
'x,-y,z'
loop_
_atom_site_label
_atom_site_type_symbol
_atom_site_fract_x
_atom_site_fract_y
_atom_site_fract_z
Ho1 Ho 0.000 0.000 0.000
Er1 Er 0.000 0.500 0.500
Pu1 Pu 0.500 0.000 0.500
Pu2 Pu 0.500 0.500 0.000
As1 As 0.249 0.000 0.750
As2 As 0.249 0.500 0.251
```

Properties
DOS(E_F) = 26.92 states/eV/cell
E = -8.29 eV/atom
density = 9458 kg/m3

=====

Computed, not measured: an optimized crystal structure of HoEr2PuAs4 at the GGA-PBE level of DFT.

```
data_HoEr2PuAs4
_space_group_name_H-M_alt 'P 1 2/m 1'
_space_group_IT_number 10
_cell_length_a 7.090
_cell_length_b 4.107
_cell_length_c 7.092
_cell_angle_alpha 90.00
_cell_angle_beta 109.47
_cell_angle_gamma 90.00
loop_
_space_group_symop_operation_xyz
'x,y,z'
'-x,-y,-z'
'-x,y,-z'
'x,-y,z'
loop_
_atom_site_label
_atom_site_type_symbol
_atom_site_fract_x
_atom_site_fract_y
_atom_site_fract_z
Ho1 Ho 0.000 0.000 0.000
Er1 Er 0.500 0.000 0.500
Er2 Er 0.500 0.500 0.000
Pu1 Pu 0.000 0.500 0.500
As1 As 0.251 0.000 0.750
As2 As 0.251 0.500 0.250
```

Properties
DOS(E_F) = 12.84 states/eV/cell
E = -7.22 eV/atom
density = 8898 kg/m3